PBE KNbSeN2, relaxed; energy relative to the elements, uncorrected = 2.565 eV/atom; VASP energy = -18.479 eV for the cell shown; V = 91.1 Å³ per cell; energy relative to the lowest polymorph listed for this composition = 2586 meV/atom; SG = P4/mmm; N(E_F) = 1.272 states/eV per atom
1.0
4.131 0.000 0.000
0.000 4.131 0.000
0.000 0.000 5.340
K Nb Se N
1 1 1 2
Direct
0.000 0.000 0.000
0.500 0.500 0.500
0.000 0.000 0.500
0.000 0.500 0.000
0.500 0.000 0.000

---

PBE InPt4Pb, relaxed; energy of formation = -1.2 eV per formula unit; VASP energy = -31.857 eV for the cell shown; V = 114.6 Å³ per cell; SG = F-43m; N(E_F) = 0.657 states/eV per atom
1.0
0.000 3.855 3.855
3.855 0.000 3.855
3.855 3.855 0.000
In Pt Pb
1 4 1
Direct
0.000 0.000 0.000
0.375 0.375 0.375
0.375 0.375 0.876
0.375 0.876 0.375
0.876 0.375 0.375
0.750 0.750 0.750

---

PBE Sb2MoPb, relaxed; energy relative to the elements, uncorrected = 0.308 eV/atom; VASP energy = -21.553 eV for the cell shown; V = 99.0 Å³ per cell; SG = P4mm; N(E_F) = 0.846 states/eV per atom
1.0
3.547 0.000 0.000
0.000 3.547 0.000
0.000 0.000 7.864
Sb Mo Pb
2 1 1
Direct
0.000 0.000 0.000
0.500 0.500 0.247
0.000 0.000 0.390
0.500 0.500 0.652

---

PBE BaS2I, relaxed; energy relative to the elements, uncorrected = -0.778 eV/atom; VASP energy = -44.525 eV for the cell shown; V = 507.8 Å³ per cell; energy relative to the lowest polymorph listed for this composition = 0 meV/atom; SG = R-3m; N(E_F) = 0.990 states/eV per atom
1.0
4.980 0.000 0.000
-2.490 4.313 0.000
0.000 0.000 23.641
Ba S I
3 6 3
Direct
0.000 0.000 0.000
0.333 0.667 0.667
0.667 0.333 0.333
0.000 0.000 0.391
0.000 0.000 0.609
0.333 0.667 0.057
0.333 0.667 0.276
0.667 0.333 0.724
0.667 0.333 0.943
0.000 0.000 0.500
0.333 0.667 0.167
0.667 0.333 0.833

---

PBE AgOsI2N, relaxed; energy relative to the elements, uncorrected = 2.148 eV/atom; VASP energy = -14.768 eV for the cell shown; V = 118.2 Å³ per cell; energy relative to the lowest polymorph listed for this composition = 1678 meV/atom; SG = P4/mmm; N(E_F) = 1.377 states/eV per atom
1.0
5.622 0.000 0.000
0.000 5.622 0.000
0.000 0.000 3.739
Ag Os I N
1 1 2 1
Direct
0.000 0.000 0.000
0.500 0.500 0.500
0.000 0.500 0.000
0.500 0.000 0.000
0.000 0.000 0.500

---

PBE Ac2NbCuO6, relaxed; energy relative to the elements, uncorrected = -2.556 eV/atom; VASP energy = -77.692 eV for the cell shown; V = 156.9 Å³ per cell; SG = P4mm
1.0
5.532 0.000 0.000
0.000 5.532 0.000
0.000 0.000 5.126
Ac Nb Cu O
2 1 1 6
Direct
0.000 0.500 0.000
0.500 0.000 0.000
0.000 0.000 0.569
0.500 0.500 0.500
0.000 0.000 0.191
0.236 0.236 0.698
0.236 0.764 0.698
0.500 0.500 0.127
0.764 0.236 0.698
0.764 0.764 0.698

---

PBE HfTiCoMo, relaxed; energy of formation = -0.9 eV per formula unit; VASP energy = -146.607 eV for the cell shown; V = 250.3 Å³ per cell; energy relative to the lowest polymorph listed for this composition = 14 meV/atom; SG = F-43m; N(E_F) = 1.127 states/eV per atom
1.0
6.302 0.000 0.000
0.000 6.302 0.000
0.000 0.000 6.302
Hf Ti Co Mo
4 4 4 4
Direct
0.000 0.000 0.000
0.000 0.500 0.500
0.500 0.000 0.500
0.500 0.500 0.000
0.000 0.000 0.500
0.000 0.500 0.000
0.500 0.000 0.000
0.500 0.500 0.500
0.250 0.250 0.250
0.250 0.750 0.750
0.750 0.250 0.750
0.750 0.750 0.250
0.250 0.250 0.750
0.250 0.750 0.250
0.750 0.250 0.250
0.750 0.750 0.750

---

PBE NaIn2Hg4Pb, relaxed; energy of formation = -0.1 eV per formula unit; VASP energy = -11.859 eV for the cell shown; V = 235.1 Å³ per cell; SG = F222; N(E_F) = 0.256 states/eV per atom
1.0
0.000 4.388 6.114
4.383 0.000 6.114
4.383 4.388 0.000
Na In Hg Pb
1 2 4 1
Direct
0.000 0.000 0.000
0.500 0.500 0.500
0.750 0.750 0.750
0.255 0.255 0.745
0.503 0.503 0.997
0.745 0.745 0.255
0.997 0.997 0.503
0.250 0.250 0.250